No. 1
# LiZnCu4Si2

Crystalline LiZnCu4Si2 at its relaxed geometry (PBE-GGA, OQMD via LeMat-Bulk).

Properties
The raw total energy comes out at -3.6964 eV per atom. Its crystal system is tetragonal.

Cell lengths 4.113, 4.113, 5.785 Å; angles 90.00, 90.00, 90.00 degrees
Sites, in units of the cell vectors:
Cu 0.000 0.500 0.259
Cu 0.500 0.000 0.259
Cu 0.000 0.500 0.741
Cu 0.500 0.000 0.741
Zn 0.500 0.500 0.000
Si 0.500 0.500 0.500
Si 0.000 0.000 0.000
Li 0.000 0.000 0.500


No. 2
# LiZnCuSi

Crystalline LiZnCuSi at its relaxed geometry (PBE-GGA, OQMD via LeMat-Bulk).

Properties
As for the energy above the most stable polymorph in this dataset: 0.000 eV per atom. Its crystal system is cubic.

Cell lengths 4.183, 4.183, 4.183 Å; angles 60.00, 60.00, 60.00 degrees
Sites, in units of the cell vectors:
Cu 0.000 0.000 0.000
Zn 0.500 0.500 0.500
Li 0.750 0.750 0.750
Si 0.250 0.250 0.250


No. 3
# LiSmCu4

Crystalline LiSmCu4 at its relaxed geometry (PBE-GGA, OQMD via LeMat-Bulk).

Properties
The raw total energy comes out at -3.7578 eV per atom. Its crystal system is cubic.

Cell lengths 5.063, 5.063, 5.063 Å; angles 60.00, 60.00, 60.00 degrees
Sites, in units of the cell vectors:
Cu 0.627 0.627 0.627
Cu 0.119 0.627 0.627
Cu 0.627 0.119 0.627
Cu 0.627 0.627 0.119
Sm 0.250 0.250 0.250
Li 0.000 0.000 0.000


No. 4
# Li2CuSn2

Crystalline Li2CuSn2 at its relaxed geometry (PBE-GGA, OQMD via LeMat-Bulk).

Properties
The raw total energy comes out at -3.4155 eV per atom. Its crystal system is tetragonal.

Cell lengths 10.183, 10.183, 10.183 Å; angles 154.93, 154.93, 35.75 degrees
Sites, in units of the cell vectors:
Li 0.674 0.674 0.000
Li 0.424 0.924 0.500
Li 0.076 0.576 0.500
Li 0.326 0.326 0.000
Sn 0.176 0.176 0.000
Sn 0.926 0.426 0.500
Sn 0.824 0.824 0.000
Sn 0.574 0.074 0.500
Cu 0.500 0.500 0.000
Cu 0.250 0.750 0.500


No. 5
# LiTaCuSn

Crystalline LiTaCuSn at its relaxed geometry (PBE-GGA, OQMD via LeMat-Bulk).

Properties
As for the energy above the most stable polymorph in this dataset: 0.000 eV per atom. Its crystal system is cubic.

Cell lengths 4.478, 4.478, 4.478 Å; angles 60.00, 60.00, 60.00 degrees
Sites, in units of the cell vectors:
Cu 0.750 0.750 0.750
Ta 0.500 0.500 0.500
Sn 0.000 0.000 0.000
Li 0.250 0.250 0.250


No. 6
# LiTaCuSn

Crystalline LiTaCuSn at its relaxed geometry (PBE-GGA, OQMD via LeMat-Bulk).

Properties
As for the energy above the most stable polymorph in this dataset: 0.052 eV per atom. Its crystal system is cubic.

Cell lengths 4.567, 4.567, 4.567 Å; angles 60.00, 60.00, 60.00 degrees
Sites, in units of the cell vectors:
Li 0.500 0.500 0.500
Ta 0.250 0.250 0.250
Cu 0.750 0.750 0.750
Sn 0.000 0.000 0.000